VASP calculation (GGA-PBE) on a relaxed SrAg2Os crystal.

Structure (POSCAR):
```
SrAg2Os
1.0
-2.132 2.132 4.526
2.132 -2.132 4.526
2.132 2.132 -4.526
Sr Ag Os
1 2 1
Cartesian
0.000 0.000 0.000
2.132 0.000 2.263
0.000 0.000 4.526
0.000 2.132 2.263
```

Its calculated volume is 82.3 Å³/cell. The formation energy from the elements comes out at 0.71 eV/atom. As for the space-group type: I-4m2. As for the calculated density: 9.96 g cm⁻³. As for the energy above the lowest structure with this stoichiometry: 0.1057 eV/atom.